## Ti3ZnN (GGA-PBE)

Data for a geometry-optimized Ti3ZnN structure.

abc: 3.7773 3.7773 13.2706
angles: 90.00 90.00 120.00
Fractional positions:
Ti1 0.0000 0.0000 0.2500
Ti2 0.0000 0.0000 0.7500
Ti3 0.3333 0.6667 0.0596
Ti4 0.3333 0.6667 0.4404
Ti5 0.6667 0.3333 0.5596
Ti6 0.6667 0.3333 0.9404
Zn1 0.3333 0.6667 0.2500
Zn2 0.6667 0.3333 0.7500
N1 0.0000 0.0000 0.0000
N2 0.0000 0.0000 0.5000

The space group is P6_3/mmc, No. 194. The size of the total moment comes out at 0.0 μB/f.u. Its raw formation energy is 414 meV/atom.

## Mg7SiN6 (GGA-PBE)

Data for a geometry-optimized Mg7SiN6 structure.

abc: 8.1920 8.1920 8.1920
angles: 140.78 102.17 90.83
Fractional positions:
Mg1 0.0420 0.2185 0.2605
Mg2 0.1086 0.4863 0.8351
Mg3 0.1511 0.9863 0.3776
Mg4 0.2500 0.2500 0.0000
Mg5 0.3489 0.7265 0.8351
Mg6 0.3914 0.2265 0.3776
Mg7 0.4580 0.7185 0.1765
Mg8 0.5420 0.2815 0.8235
Mg9 0.6086 0.7735 0.6224
Mg10 0.6511 0.2735 0.1649
Mg11 0.7500 0.7500 0.0000
Mg12 0.8489 0.0137 0.6224
Mg13 0.8914 0.5137 0.1649
Mg14 0.9580 0.7815 0.7395
Si1 0.2500 0.7500 0.5000
Si2 0.7500 0.2500 0.5000
N1 0.0668 0.8654 0.5881
N2 0.1554 0.8719 0.0273
N3 0.2227 0.6346 0.2014
N4 0.2773 0.4787 0.4119
N5 0.3446 0.3719 0.7165
N6 0.4332 0.0213 0.7986
N7 0.5668 0.9787 0.2014
N8 0.6554 0.6281 0.2835
N9 0.7227 0.5213 0.5881
N10 0.7773 0.3654 0.7986
N11 0.8446 0.1281 0.9727
N12 0.9332 0.1346 0.4119

The space group is Ibam, No. 72. The size of the total moment comes out at 0.0 μB/f.u. Its raw formation energy is -801 meV/atom.

## Al2SbTe (GGA-PBE)

Data for a geometry-optimized Al2SbTe structure.

abc: 4.1152 4.1152 20.0337
angles: 90.00 90.00 120.00
Fractional positions:
Al1 0.0000 0.0000 0.2447
Al2 0.0000 0.0000 0.7553
Al3 0.3333 0.6667 0.4220
Al4 0.3333 0.6667 0.9114
Al5 0.6667 0.3333 0.0886
Al6 0.6667 0.3333 0.5780
Sb1 0.0000 0.0000 0.5000
Sb2 0.3333 0.6667 0.1667
Sb3 0.6667 0.3333 0.8333
Te1 0.0000 0.0000 0.0000
Te2 0.3333 0.6667 0.6667
Te3 0.6667 0.3333 0.3333

The space group is R-3m, No. 166. The size of the total moment comes out at 0.0 μB/f.u. Its raw formation energy is -104 meV/atom.

## Dy6Mg5Al (GGA-PBE)

Data for a geometry-optimized Dy6Mg5Al structure.

abc: 8.3752 8.3752 7.5510
angles: 90.00 90.00 143.18
Fractional positions:
Dy1 0.0000 0.0000 0.2401
Dy2 0.0000 0.0000 0.7599
Dy3 0.3378 0.6622 0.2436
Dy4 0.3378 0.6622 0.7564
Dy5 0.6622 0.3378 0.2436
Dy6 0.6622 0.3378 0.7564
Mg1 0.1683 0.8317 0.5000
Mg2 0.1702 0.8298 0.0000
Mg3 0.5000 0.5000 0.5000
Mg4 0.8298 0.1702 0.0000
Mg5 0.8317 0.1683 0.5000
Al1 0.5000 0.5000 0.0000

The space group is Cmmm, No. 65. The size of the total moment comes out at 0.0 μB/f.u. For the formation energy, the calculation gives -0.142 eV/atom.

## AgHgSe2 (GGA-PBE)

Data for a geometry-optimized AgHgSe2 structure.

abc: 3.7576 4.0315 6.3715
angles: 90.00 90.00 90.00
Fractional positions:
Ag1 0.0000 0.0000 0.0000
Hg1 0.5000 0.5000 0.0000
Se1 0.0000 0.5000 0.5000
Se2 0.5000 0.0000 0.5000

The space group is Pmmm, No. 47. The size of the total moment comes out at 0.0 μB/f.u. Its raw formation energy is 223 meV/atom.

## CeEr7Tm4 (GGA-PBE)

Data for a geometry-optimized CeEr7Tm4 structure.

abc: 6.1144 7.0617 8.6972
angles: 89.98 76.31 89.95
Fractional positions:
Ce1 0.0000 0.0000 0.0000
Er1 0.0000 0.5000 0.0000
Er2 0.2200 0.0000 0.3332
Er3 0.2766 0.7504 0.6664
Er4 0.4998 0.2482 0.9999
Er5 0.5002 0.7518 0.0001
Er6 0.7234 0.2496 0.3336
Er7 0.7800 0.0000 0.6668
Tm1 0.2212 0.4999 0.3368
Tm2 0.2763 0.2495 0.6666
Tm3 0.7237 0.7505 0.3334
Tm4 0.7788 0.5001 0.6632

The space group is P-1, No. 2. The size of the total moment comes out at 1.1 μB/f.u. For the formation energy, the calculation gives 0.010 eV/atom.

## LaAl11Os (GGA-PBE)

Data for a geometry-optimized LaAl11Os structure.

abc: 6.8717 6.8717 7.2463
angles: 97.86 97.86 134.94
Fractional positions:
La1 0.0000 0.0000 0.0000
Al1 0.0000 0.0000 0.5000
Al2 0.0000 0.5000 0.0000
Al3 0.0174 0.3644 0.3610
Al4 0.2801 0.4998 0.7703
Al5 0.3644 0.0174 0.3610
Al6 0.5000 0.0000 0.0000
Al7 0.4998 0.2801 0.7703
Al8 0.5002 0.7199 0.2297
Al9 0.6356 0.9826 0.6390
Al10 0.7199 0.5002 0.2297
Al11 0.9826 0.6356 0.6390
Os1 0.5000 0.5000 0.5000

The space group is C2/m, No. 12. The size of the total moment comes out at 0.0 μB/f.u. For the formation energy, the calculation gives -0.263 eV/atom.

## Ba6Tl3H (GGA-PBE)

Data for a geometry-optimized Ba6Tl3H structure.

abc: 8.1545 9.5100 12.8374
angles: 90.00 119.68 90.00
Fractional positions:
Ba1 0.0802 0.0460 0.2341
Ba2 0.0802 0.4540 0.7341
Ba3 0.2054 0.6951 0.0704
Ba4 0.2054 0.8049 0.5704
Ba5 0.3814 0.1571 0.0568
Ba6 0.3814 0.3429 0.5568
Ba7 0.6186 0.6571 0.4432
Ba8 0.6186 0.8429 0.9432
Ba9 0.7946 0.1951 0.4296
Ba10 0.7946 0.3049 0.9296
Ba11 0.9198 0.5460 0.2659
Ba12 0.9198 0.9540 0.7659
Tl1 0.3068 0.1183 0.7499
Tl2 0.3068 0.3817 0.2499
Tl3 0.5000 0.0000 0.5000
Tl4 0.5000 0.5000 0.0000
Tl5 0.6932 0.6183 0.7501
Tl6 0.6932 0.8817 0.2501
H1 0.0000 0.0000 0.0000
H2 0.0000 0.5000 0.5000

The space group is P2_1/c, No. 14. The size of the total moment comes out at 0.0 μB/f.u. The calculation puts the uncorrected energy at -2.46 eV/atom.

## BaLa2Cu (GGA-PBE)

Data for a geometry-optimized BaLa2Cu structure.

abc: 4.2096 4.8805 6.9519
angles: 90.00 107.37 90.00
Fractional positions:
Ba1 0.0000 0.0000 0.0000
La1 0.2987 0.5000 0.6938
La2 0.7013 0.5000 0.3062
Cu1 0.5000 0.0000 0.5000

The space group is P2/m, No. 10. The size of the total moment comes out at 0.0 μB/f.u. For the formation energy, the calculation gives 0.171 eV/atom.

## SmMgS3 (GGA-PBE)

Data for a geometry-optimized SmMgS3 structure.

abc: 7.0232 7.0232 7.0232
angles: 58.95 58.95 58.95
Fractional positions:
Sm1 0.1447 0.1447 0.1447
Sm2 0.8553 0.8553 0.8553
Mg1 0.3485 0.3485 0.3485
Mg2 0.6515 0.6515 0.6515
S1 0.0629 0.7233 0.4563
S2 0.2767 0.5437 0.9371
S3 0.4563 0.0629 0.7233
S4 0.5437 0.9371 0.2767
S5 0.7233 0.4563 0.0629
S6 0.9371 0.2767 0.5437

The space group is R-3, No. 148. The size of the total moment comes out at 0.0 μB/f.u. Its raw formation energy is -1314 meV/atom.